1.
PuZrCo2 | PBE-GGA | relaxed

abc: 4.2789 4.2789 12.8959
angles: 90.00 90.00 120.00
Space group R-3m (No. 166, hexagonal axes)
One atom of each set of equivalent atoms:
1 Pu 0.0000 0.0000 0.0000 x3
2 Zr 0.0000 0.0000 0.5000 x3
3 Co 0.0000 0.0000 0.2748 x6

Formation enthalpy at 0 K ... -45 meV/atom
Energy above the lowest structure with this stoichiometry ... 0.91 kcal/mol of atoms
Crystal system ... trigonal

2.
Pm4SmIr2 | PBE-GGA | relaxed

abc: 7.9811 6.5746 8.0864
angles: 90.00 113.20 90.00
Space group P2_1/m (No. 11)
One atom of each set of equivalent atoms:
1 Pm 0.0127 0.2500 0.3781 x2
2 Pm 0.2496 0.7500 0.3382 x2
3 Pm 0.4141 0.0046 0.7629 x4
4 Sm 0.1517 0.2500 0.0287 x2
5 Ir 0.2514 0.7500 0.9902 x2
6 Ir 0.3700 0.2500 0.4044 x2

Formation enthalpy at 0 K ... -412 meV/atom
Crystal system ... monoclinic

3.
Fe2CoP | PBE-GGA | relaxed

abc: 2.7159 2.7159 5.7893
angles: 90.00 90.00 90.00
Space group P4/mmm (No. 123)
One atom of each set of equivalent atoms:
1 Fe 0.0000 0.0000 0.2247 x2
2 Co 0.5000 0.5000 0.5000 x1
3 P 0.5000 0.5000 0.0000 x1

Formation enthalpy at 0 K ... -109 meV/atom
Crystal system ... tetragonal